1.
Compound: DyAlTlAg
Source: Alexandria
Functional: PBE
Structure: relaxed

Calculated values
energy of formation = -0.1544 eV/atom
crystal system = cubic
total moment = 0.0 μB/cell
DOS(E_F) = 5.0 states/eV/cell
VASP energy = -3.54 eV/atom

Cell: 7.0940 7.0940 7.0940 Å, 90.00 90.00 90.00°
Last column: nearest neighbours and their distance in Å.
Sites, in units of the cell vectors:
Dy (0.0000, 0.0000, 0.0000)  4 Tl 3.07, 4 Ag 3.07
Dy (0.0000, 0.5000, 0.5000)  4 Tl 3.07, 4 Ag 3.07
Dy (0.5000, 0.0000, 0.5000)  4 Tl 3.07, 4 Ag 3.07
Dy (0.5000, 0.5000, 0.0000)  4 Tl 3.07, 4 Ag 3.07
Al (0.0000, 0.0000, 0.5000)  4 Ag 3.07, 4 Tl 3.07
Al (0.0000, 0.5000, 0.0000)  4 Ag 3.07, 4 Tl 3.07
Al (0.5000, 0.0000, 0.0000)  4 Ag 3.07, 4 Tl 3.07
Al (0.5000, 0.5000, 0.5000)  4 Ag 3.07, 4 Tl 3.07
Tl (0.2500, 0.2500, 0.7500)  4 Al 3.07, 4 Dy 3.07
Tl (0.2500, 0.7500, 0.2500)  4 Al 3.07, 4 Dy 3.07
Tl (0.7500, 0.2500, 0.2500)  4 Al 3.07, 4 Dy 3.07
Tl (0.7500, 0.7500, 0.7500)  4 Al 3.07, 4 Dy 3.07
Ag (0.2500, 0.2500, 0.2500)  4 Dy 3.07, 4 Al 3.07
Ag (0.2500, 0.7500, 0.7500)  4 Dy 3.07, 4 Al 3.07
Ag (0.7500, 0.2500, 0.7500)  4 Dy 3.07, 4 Al 3.07
Ag (0.7500, 0.7500, 0.2500)  4 Dy 3.07, 4 Al 3.07

2.
Compound: SrZr3Au4O12
Source: Alexandria
Functional: PBE
Structure: relaxed

Calculated values
ΔE_f (raw) = -30.78 eV per formula unit
crystal system = trigonal
total moment = 2.7 μB/cell
DOS(E_F) = 19.8 states/eV/cell
VASP energy = -6.54 eV/atom

Cell: 7.2647 7.2647 7.2647 Å, 107.02 107.02 107.02°
Last column: nearest neighbours and their distance in Å.
Sites, in units of the cell vectors:
Sr (0.0000, 0.0000, 0.0000)  6 O 2.63
Zr (0.0000, 0.5663, 0.4337)  6 O 2.08-2.14
Zr (0.4337, 0.0000, 0.5663)  6 O 2.08-2.14
Zr (0.5663, 0.4337, 0.0000)  6 O 2.08-2.14
Au (0.1224, 0.5000, 0.8776)  2 O 1.99
Au (0.5000, 0.5000, 0.5000)  3 O 2.00
Au (0.5000, 0.8776, 0.1224)  2 O 1.99
Au (0.8776, 0.1224, 0.5000)  2 O 1.99
O (0.0101, 0.2623, 0.3446)  1 Au 1.99, 1 Zr 2.14
O (0.1134, 0.8866, 0.5000)  2 Zr 2.08
O (0.2623, 0.3446, 0.0101)  1 Au 1.99, 1 Zr 2.14
O (0.3288, 0.6712, 0.5000)  1 Au 2.00, 2 Zr 2.14
O (0.3446, 0.0101, 0.2623)  1 Au 1.99, 1 Zr 2.14
O (0.5000, 0.1134, 0.8866)  2 Zr 2.08
O (0.5000, 0.3288, 0.6712)  1 Au 2.00, 2 Zr 2.14
O (0.6554, 0.7377, 0.9899)  1 Au 1.99, 1 Zr 2.14
O (0.6712, 0.5000, 0.3288)  1 Au 2.00, 2 Zr 2.14
O (0.7377, 0.9899, 0.6554)  1 Au 1.99, 1 Zr 2.14
O (0.8866, 0.5000, 0.1134)  2 Zr 2.08
O (0.9899, 0.6554, 0.7377)  1 Au 1.99, 1 Zr 2.14

3.
Compound: Ca2TaCd
Source: Alexandria
Functional: PBE
Structure: relaxed

Calculated values
energy of formation = 0.8478 eV/atom
crystal system = tetragonal
total moment = 11.8 μB/cell
DOS(E_F) = 14.6 states/eV/cell
VASP energy = -3.34 eV/atom

Cell: 8.4518 8.4518 6.2320 Å, 90.00 90.00 90.00°
Last column: nearest neighbours and their distance in Å.
Sites, in units of the cell vectors:
Ca (0.2341, 0.2500, 0.1250)  2 Cd 3.00, 2 Ca 3.13, 2 Ta 3.18
Ca (0.2500, 0.7341, 0.3750)  2 Cd 3.00, 2 Ca 3.13, 2 Ta 3.18
Ca (0.2500, 0.7659, 0.8750)  2 Cd 3.00, 2 Ca 3.13, 2 Ta 3.18
Ca (0.2659, 0.2500, 0.6250)  2 Cd 3.00, 2 Ca 3.13, 2 Ta 3.18
Ca (0.7341, 0.7500, 0.6250)  2 Cd 3.00, 2 Ca 3.13, 2 Ta 3.18
Ca (0.7500, 0.2341, 0.8750)  2 Cd 3.00, 2 Ca 3.13, 2 Ta 3.18
Ca (0.7500, 0.2659, 0.3750)  2 Cd 3.00, 2 Ca 3.13, 2 Ta 3.18
Ca (0.7659, 0.7500, 0.1250)  2 Cd 3.00, 2 Ca 3.13, 2 Ta 3.18
Ta (0.0000, 0.0000, 0.5000)  2 Cd 3.12, 4 Ca 3.18
Ta (0.0000, 0.5000, 0.7500)  2 Cd 3.12, 4 Ca 3.18
Ta (0.5000, 0.0000, 0.2500)  2 Cd 3.12, 4 Ca 3.18
Ta (0.5000, 0.5000, 0.0000)  2 Cd 3.12, 4 Ca 3.18
Cd (0.0000, 0.0000, 0.0000)  4 Ca 3.00, 2 Ta 3.12
Cd (0.0000, 0.5000, 0.2500)  4 Ca 3.00, 2 Ta 3.12
Cd (0.5000, 0.0000, 0.7500)  4 Ca 3.00, 2 Ta 3.12
Cd (0.5000, 0.5000, 0.5000)  4 Ca 3.00, 2 Ta 3.12

4.
Compound: PrY5Er7
Source: Alexandria
Functional: PBE
Structure: relaxed

Calculated values
energy of formation = 0.2672 eV/atom
crystal system = orthorhombic
total moment = 0.0 μB/cell
DOS(E_F) = 25.6 states/eV/cell
VASP energy = -5.04 eV/atom

Cell: 8.6681 8.6681 8.6681 Å, 134.26 100.93 96.46°
Last column: nearest neighbours and their distance in Å.
Sites, in units of the cell vectors:
Pr (0.0000, 0.0000, 0.0000)  3 Er 3.46-3.68, 4 Y 3.77
Y (0.0230, 0.0295, 0.4595)  2 Er 3.08-3.43, 2 Y 3.14-3.40
Y (0.0230, 0.5635, 0.9935)  2 Er 3.08-3.43, 2 Y 3.14-3.40
Y (0.3010, 0.8010, 0.5000)  6 Er 3.37-3.48, 4 Y 3.40
Y (0.5700, 0.0295, 0.0065)  2 Er 3.08-3.43, 2 Y 3.14-3.40
Y (0.5700, 0.5635, 0.5405)  2 Er 3.08-3.43, 2 Y 3.14-3.40
Er (0.2175, 0.5473, 0.6702)  5 Er 3.46-3.80, 5 Y 3.47-3.48
Er (0.2994, 0.2994, 0.0000)  6 Y 3.37-3.51, 1 Pr 3.46, 1 Er 3.51
Er (0.3785, 0.0489, 0.3296)  4 Er 3.42-3.80, 5 Y 3.43-3.50, 1 Pr 3.68
Er (0.6029, 0.6029, 0.0000)  7 Er 3.51-3.91, 4 Y 3.70
Er (0.7193, 0.0489, 0.6704)  4 Er 3.42-3.80, 5 Y 3.43-3.50, 1 Pr 3.68
Er (0.7960, 0.2960, 0.5000)  4 Y 3.08, 2 Er 3.42
Er (0.8772, 0.5473, 0.3298)  5 Er 3.46-3.80, 5 Y 3.47-3.48

5.
Compound: Cs2AuI
Source: Alexandria
Functional: PBE
Structure: relaxed

Calculated values
ΔE_f (raw) = -3.38 eV per formula unit
crystal system = tetragonal
total moment = 0.0 μB/cell
DOS(E_F) = 0.0 states/eV/cell
VASP energy = -2.48 eV/atom

Cell: 8.5348 8.5348 16.6773 Å, 90.00 90.00 90.00°
Last column: nearest neighbours and their distance in Å.
Sites, in units of the cell vectors:
Cs (0.2294, 0.2500, 0.1250)  2 Au 3.57, 2 I 3.77
Cs (0.2500, 0.7294, 0.3750)  2 Au 3.57, 2 I 3.77
Cs (0.2500, 0.7706, 0.8750)  2 Au 3.57, 2 I 3.77
Cs (0.2706, 0.2500, 0.6250)  2 Au 3.57, 2 I 3.77
Cs (0.7294, 0.7500, 0.6250)  2 Au 3.57, 2 I 3.77
Cs (0.7500, 0.2294, 0.8750)  2 Au 3.57, 2 I 3.77
Cs (0.7500, 0.2706, 0.3750)  2 Au 3.57, 2 I 3.77
Cs (0.7706, 0.7500, 0.1250)  2 Au 3.57, 2 I 3.77
Au (0.0000, 0.0000, 0.0000)  4 Cs 3.57
Au (0.0000, 0.5000, 0.2500)  4 Cs 3.57
Au (0.5000, 0.0000, 0.7500)  4 Cs 3.57
Au (0.5000, 0.5000, 0.5000)  4 Cs 3.57
I (0.0000, 0.0000, 0.5000)  4 Cs 3.77
I (0.0000, 0.5000, 0.7500)  4 Cs 3.77
I (0.5000, 0.0000, 0.2500)  4 Cs 3.77
I (0.5000, 0.5000, 0.0000)  4 Cs 3.77

6.
Compound: EuDyFe4
Source: Alexandria
Functional: PBE
Structure: relaxed

Calculated values
energy of formation = 0.1541 eV/atom
crystal system = cubic
total moment = 14.6 μB/cell
DOS(E_F) = 19.1 states/eV/cell
VASP energy = -7.97 eV/atom

Cell: 5.1801 5.1801 5.1801 Å, 60.00 60.00 60.00°
Last column: nearest neighbours and their distance in Å.
Sites, in units of the cell vectors:
Eu (0.0000, 0.0000, 0.0000)  12 Fe 3.04, 4 Dy 3.17
Dy (0.2500, 0.2500, 0.2500)  12 Fe 3.04, 4 Eu 3.17
Fe (0.1243, 0.6252, 0.6252)  6 Fe 2.58-2.60
Fe (0.6252, 0.1243, 0.6252)  6 Fe 2.58-2.60
Fe (0.6252, 0.6252, 0.1243)  6 Fe 2.58-2.60
Fe (0.6252, 0.6252, 0.6252)  6 Fe 2.58-2.60

7.
Compound: SrOsN2O
Source: Alexandria
Functional: PBE
Structure: relaxed

Calculated values
ΔE_f (raw) = 13.14 eV per formula unit
crystal system = tetragonal
total moment = 0.3 μB/cell
DOS(E_F) = 7.3 states/eV/cell
VASP energy = -4.28 eV/atom

Cell: 4.2642 4.2642 4.3471 Å, 90.00 90.00 90.00°
Last column: nearest neighbours and their distance in Å.
Sites, in units of the cell vectors:
Sr (0.0000, 0.0000, 0.0000)  4 N 2.13, 2 O 2.17
Os (0.5000, 0.5000, 0.5000)  4 O 3.02, 8 N 3.04
N (0.0000, 0.5000, 0.0000)  2 Sr 2.13
N (0.5000, 0.0000, 0.0000)  2 Sr 2.13
O (0.0000, 0.0000, 0.5000)  2 Sr 2.17

8.
Compound: VCdMo2C
Source: Alexandria
Functional: PBE
Structure: relaxed

Calculated values
energy of formation = 0.1712 eV/atom
crystal system = tetragonal
total moment = 0.0 μB/cell
DOS(E_F) = 5.8 states/eV/cell
VASP energy = -8.01 eV/atom

Cell: 4.2320 4.2320 4.0227 Å, 90.00 90.00 90.00°
Last column: nearest neighbours and their distance in Å.
Sites, in units of the cell vectors:
V (0.0000, 0.0000, 0.0000)  2 C 2.01
Cd (0.5000, 0.5000, 0.0000)  8 Mo 2.92, 4 V 2.99
Mo (0.0000, 0.5000, 0.5000)  2 C 2.12
Mo (0.5000, 0.0000, 0.5000)  2 C 2.12
C (0.0000, 0.0000, 0.5000)  2 V 2.01, 4 Mo 2.12